[1]
# SrTa2NiH

A geometry-optimized SrTa2NiH structure (PBE, the Alexandria database).

Values from the calculation:
**Spin magnetization**: 0.00 μB/f.u.
**Volume**: 86.4 Å³/cell
**Final energy**: -6.311 eV per atom

Lattice parameters (Å, degrees): 4.014 4.014 5.363 90.00 90.00 90.00
Sites, in units of the cell vectors:
1 Sr 0.000 0.000 0.000
2 Ta 0.000 0.500 0.500
3 Ta 0.500 0.000 0.500
4 Ni 0.500 0.500 0.000
5 H 0.500 0.500 0.500


[2]
# SrTbNi2H8

A geometry-optimized SrTbNi2H8 structure (PBE, the Alexandria database).

Values from the calculation:
**Spin magnetization**: 0.00 μB/f.u.
**Volume**: 124.7 Å³/cell
**Final energy**: -3.915 eV per atom

Lattice parameters (Å, degrees): 6.819 6.819 6.819 41.29 41.29 41.29
Sites, in units of the cell vectors:
1 Sr 0.000 0.000 0.000
2 Tb 0.500 0.500 0.500
3 Ni 0.230 0.230 0.230
4 Ni 0.770 0.770 0.770
5 H 0.039 0.871 0.414
6 H 0.129 0.586 0.961
7 H 0.311 0.311 0.311
8 H 0.414 0.039 0.871
9 H 0.586 0.961 0.129
10 H 0.689 0.689 0.689
11 H 0.871 0.414 0.039
12 H 0.961 0.129 0.586


[3]
# Sr2TlNiH6

A geometry-optimized Sr2TlNiH6 structure (PBE, the Alexandria database).

Values from the calculation:
**Spin magnetization**: 0.00 μB/f.u.
**Volume**: 149.1 Å³/cell
**Final energy**: -3.458 eV per atom

Lattice parameters (Å, degrees): 4.967 4.967 6.975 90.00 90.00 120.00
Sites, in units of the cell vectors:
1 Sr 0.333 0.667 0.305
2 Sr 0.667 0.333 0.695
3 Tl 0.000 0.000 0.000
4 Ni 0.000 0.000 0.500
5 H 0.153 0.307 0.626
6 H 0.153 0.847 0.626
7 H 0.307 0.153 0.374
8 H 0.693 0.847 0.626
9 H 0.847 0.153 0.374
10 H 0.847 0.693 0.374


[4]
# SrTlNi2H

A geometry-optimized SrTlNi2H structure (PBE, the Alexandria database).

Values from the calculation:
**Spin magnetization**: 0.00 μB/f.u.
**Volume**: 161.5 Å³/cell
**Final energy**: -2.114 eV per atom

Lattice parameters (Å, degrees): 4.867 4.867 6.816 90.00 90.00 90.00
Sites, in units of the cell vectors:
1 Sr 0.000 0.000 0.000
2 Tl 0.000 0.000 0.500
3 Ni 0.000 0.500 0.000
4 Ni 0.500 0.000 0.000
5 H 0.500 0.500 0.500


[5]
# SrTmNi2H8

A geometry-optimized SrTmNi2H8 structure (PBE, the Alexandria database).

Values from the calculation:
**Spin magnetization**: 0.00 μB/f.u.
**Volume**: 123.2 Å³/cell
**Final energy**: -3.904 eV per atom

Lattice parameters (Å, degrees): 6.767 6.767 6.767 41.54 41.54 41.54
Sites, in units of the cell vectors:
1 Sr 0.000 0.000 0.000
2 Tm 0.500 0.500 0.500
3 Ni 0.228 0.228 0.228
4 Ni 0.772 0.772 0.772
5 H 0.059 0.419 0.844
6 H 0.156 0.941 0.581
7 H 0.310 0.310 0.310
8 H 0.419 0.844 0.059
9 H 0.581 0.156 0.941
10 H 0.690 0.690 0.690
11 H 0.844 0.059 0.419
12 H 0.941 0.581 0.156


[6]
# Sr2NiHW

A geometry-optimized Sr2NiHW structure (PBE, the Alexandria database).

Values from the calculation:
**Spin magnetization**: 2.73 μB/f.u.
**Volume**: 108.2 Å³/cell
**Final energy**: -4.367 eV per atom

Lattice parameters (Å, degrees): 5.351 5.351 3.777 90.00 90.00 90.00
Sites, in units of the cell vectors:
1 Sr 0.000 0.500 0.000
2 Sr 0.500 0.000 0.000
3 Ni 0.000 0.000 0.500
4 H 0.500 0.500 0.000
5 W 0.500 0.500 0.500


Question: Among the records above, which one has the lowest final energy?
Answer: SrTa2NiH


Question: Number 5 is which compound?
Answer: SrTmNi2H8


Question: What is the formula in the second record?
Answer: SrTbNi2H8